VASP calculation (GGA-PBE) on Ac5Sm2Ho after structural relaxation.

Calculated values
- crystal system = orthorhombic
- calculated volume (A^3/atom) = 40.1
- energy of formation from the pure elements (kJ/mol of formula units) = 34
- total magnetic moment (Bohr magnetons per cell) = 0.0

Structure (CIF):
```
data_Ac5Sm2Ho
_chemical_formula_sum 'Ac10 Sm4 Ho2'
_cell_length_a 7.6128
_cell_length_b 15.2652
_cell_length_c 5.5142
_cell_angle_alpha 90.00
_cell_angle_beta 90.00
_cell_angle_gamma 90.00
_space_group_name_H-M_alt 'P b a m'
_space_group_IT_number 55
_space_group_name_Hall '-P 2 2ab'
loop_
_atom_site_label
_atom_site_fract_x
_atom_site_fract_y
_atom_site_fract_z
Ac1 0.0000 0.0000 0.0000
Ac2 0.0150 0.2548 0.0000
Ac3 0.2374 0.6203 0.5000
Sm1 0.2407 0.8759 0.5000
Ho1 0.0000 0.5000 0.0000
```